RePbS3: relaxed, PBE.

## Properties
* distance to the lowest polymorph of the same formula: 7.77 eV/f.u.
* magnetization: 4.5 μB per cell
* space-group type: Pm-3m (221)
* energy relative to the elements, uncorrected: 1.613 eV per atom

Cell and atoms, written as POSCAR:
```
RePbS3
1.0
5.115 0.000 0.000
0.000 5.115 0.000
0.000 0.000 5.115
Re Pb S
1 1 3
Direct
0.000 0.000 0.000
0.500 0.500 0.500
0.000 0.500 0.500
0.500 0.000 0.500
0.500 0.500 0.000
```